(1)
PBE-GGA BaTcSe, optimized geometry; total magnetic moment = 4.7 μB/f.u.; uncorrected formation energy = 0.919 eV/atom; offset from the most stable computed form = 3.42 eV/f.u.
1.0
0.0000 3.8006 3.8006
3.8006 0.0000 3.8006
3.8006 3.8006 0.0000
Ba Tc Se
1 1 1
direct
0.0000 0.0000 0.0000
0.7500 0.7500 0.7500
0.2500 0.2500 0.2500

(2)
PBE-GGA BaTc2Se, optimized geometry; total magnetic moment = 0.0 μB/f.u.; uncorrected formation energy = 0.129 eV/atom
1.0
2.2250 1.2846 5.9498
-2.2250 1.2846 5.9498
0.0000 -2.5692 5.9498
Ba Tc Se
1 2 1
direct
0.0000 0.0000 0.0000
0.1791 0.1791 0.1791
0.8209 0.8209 0.8209
0.5000 0.5000 0.5000

(3)
PBE-GGA Ba2TcSe, optimized geometry; total magnetic moment = 3.0 μB/f.u.; uncorrected formation energy = 0.088 eV/atom
1.0
-2.3292 2.3292 6.0790
2.3292 -2.3292 6.0790
2.3292 2.3292 -6.0790
Ba Tc Se
2 1 1
direct
0.0000 0.0000 0.0000
0.7500 0.2500 0.5000
0.5000 0.5000 0.0000
0.2500 0.7500 0.5000

Among the records above, which one has the lowest total magnetic moment? BaTc2Se

Copy entry 1 word for word.
PBE-GGA BaTcSe, optimized geometry; total magnetic moment = 4.7 μB/f.u.; uncorrected formation energy = 0.919 eV/atom; offset from the most stable computed form = 3.42 eV/f.u.
1.0
0.0000 3.8006 3.8006
3.8006 0.0000 3.8006
3.8006 3.8006 0.0000
Ba Tc Se
1 1 1
direct
0.0000 0.0000 0.0000
0.7500 0.7500 0.7500
0.2500 0.2500 0.2500

What is the formula in the third record? Ba2TcSe

Please write out number 2 again, unchanged.
PBE-GGA BaTc2Se, optimized geometry; total magnetic moment = 0.0 μB/f.u.; uncorrected formation energy = 0.129 eV/atom
1.0
2.2250 1.2846 5.9498
-2.2250 1.2846 5.9498
0.0000 -2.5692 5.9498
Ba Tc Se
1 2 1
direct
0.0000 0.0000 0.0000
0.1791 0.1791 0.1791
0.8209 0.8209 0.8209
0.5000 0.5000 0.5000